The following is a GGA-PBE calculation of a relaxed Li2TlP crystal, from Alexandria via LeMat-Bulk.

VASP energy   -0.1118 Ha/atom
Energy of formation from the pure elements   -0.140 eV/atom
Total magnetization   0.00 μB/f.u.

a = 3.2131 Å, b = 3.2131 Å, c = 25.9638 Å
α = 90.00°, β = 90.00°, γ = 120.00°
Space group R-3m (No. 166, hexagonal axes)
Asymmetric unit:
Li  0.0000  0.0000  0.2341
Tl  0.0000  0.0000  0.0000
P  0.0000  0.0000  0.5000

The following is a GGA-PBE calculation of a relaxed Li5SnPd crystal, from Alexandria via LeMat-Bulk.

VASP energy   -0.1057 Ha/atom
Energy of formation from the pure elements   -0.196 eV/atom
Total magnetization   0.00 μB/f.u.

a = 5.027 Å, b = 5.475 Å, c = 9.101 Å
α = 90.00°, β = 90.00°, γ = 90.00°
Space group Imm2 (No. 44)
Asymmetric unit:
Li  0.000  0.000  0.000
Li  0.000  0.270  0.236
Li  0.238  0.500  0.936
Sn  0.000  0.000  0.701
Pd  0.000  0.500  0.676

The following is a GGA-PBE calculation of a relaxed PaCdIrO6 crystal, from Alexandria via LeMat-Bulk.

VASP energy   -0.2675 Ha/atom
Total magnetization   2.04 μB/f.u.

a = 4.982 Å, b = 4.982 Å, c = 10.024 Å
α = 90.00°, β = 90.00°, γ = 90.00°
Space group P4_2nm (No. 102)
Asymmetric unit:
Pa  0.000  0.000  0.000
Cd  0.000  0.000  0.332
Ir  0.000  0.000  0.666
O  0.180  0.180  0.821
O  0.194  0.194  0.519
O  0.223  0.223  0.156